# PuTlSi2O8 | Alexandria via LeMat-Bulk | GGA-PBE | relaxed
# Size of the total moment   3.00 μB/f.u.
# Formation energy from raw total energies   -2.2243 eV per atom
# ρ   6.0 Mg/m³
# Uncorrected energy   -7.8251 eV/atom
data_PuTlSi2O8
_cell_length_a 8.4689
_cell_length_b 5.6875
_cell_length_c 7.2994
_cell_angle_alpha 90.00
_cell_angle_beta 94.49
_cell_angle_gamma 90.00
_space_group_name_H-M_alt 'C 1 2/m 1'
_space_group_IT_number 12
_space_group_name_Hall '-C 2y'
loop_
_atom_site_label
_atom_site_type_symbol
_atom_site_fract_x
_atom_site_fract_y
_atom_site_fract_z
Pu1 Pu 0.0000 0.0000 0.0000
Tl1 Tl 0.0000 0.0000 0.5000
Si1 Si 0.1583 0.5000 0.2402
O1 O 0.0469 0.2613 0.2226
O2 O 0.2311 0.0000 0.9375
O3 O 0.2394 0.0000 0.5610

# K2Na9Cd | Alexandria via LeMat-Bulk | GGA-PBE | relaxed
# Size of the total moment   0.00 μB/f.u.
# ρ   1.3 Mg/m³
# Uncorrected energy   -1.1705 eV/atom
# ΔH_f (0 K)   78.0 meV per atom
data_K2Na9Cd
_cell_length_a 7.0283
_cell_length_b 7.0283
_cell_length_c 35.6035
_cell_angle_alpha 90.00
_cell_angle_beta 90.00
_cell_angle_gamma 120.00
_space_group_name_H-M_alt 'R -3 m'
_space_group_IT_number 166
_space_group_name_Hall '-R 3 2"'
loop_
_atom_site_label
_atom_site_type_symbol
_atom_site_fract_x
_atom_site_fract_y
_atom_site_fract_z
K1 K 0.0000 0.0000 0.1409
Na1 Na 0.0000 0.0000 0.3334
Na2 Na 0.0000 0.0000 0.5000
Na3 Na 0.0011 0.5005 0.9187
Cd1 Cd 0.0000 0.0000 0.0000

# Nd2AlGaPd6 | Alexandria via LeMat-Bulk | GGA-PBE | relaxed
# Size of the total moment   0.00 μB/f.u.
# ρ   7.9 Mg/m³
# Uncorrected energy   -5.3938 eV/atom
# ΔH_f (0 K)   -647.5 meV per atom
data_Nd2AlGaPd6
_cell_length_a 5.7383
_cell_length_b 5.7384
_cell_length_c 8.2005
_cell_angle_alpha 69.60
_cell_angle_beta 89.92
_cell_angle_gamma 60.00
_space_group_name_H-M_alt 'P -1'
_space_group_IT_number 2
_space_group_name_Hall '-P 1'
loop_
_atom_site_label
_atom_site_type_symbol
_atom_site_fract_x
_atom_site_fract_y
_atom_site_fract_z
Nd1 Nd 0.2110 0.0779 0.1340
Al1 Al 0.5000 0.5000 0.0000
Ga1 Ga 0.0000 0.5000 0.5000
Pd1 Pd 0.2488 0.5022 0.2484
Pd2 Pd 0.2514 0.9983 0.7508
Pd3 Pd 0.2517 0.4975 0.7515

# Rb3ZrCd | Alexandria via LeMat-Bulk | GGA-PBE | relaxed
# Size of the total moment   3.39 μB/f.u.
# Energy above the lowest structure with this stoichiometry   0.0 meV per atom
# ρ   2.3 Mg/m³
# Uncorrected energy   -1.4729 eV/atom
# ΔH_f (0 K)   1000.3 meV per atom
data_Rb3ZrCd
_cell_length_a 6.8814
_cell_length_b 6.8814
_cell_length_c 6.8814
_cell_angle_alpha 90.00
_cell_angle_beta 90.00
_cell_angle_gamma 90.00
_space_group_name_H-M_alt 'P m -3 m'
_space_group_IT_number 221
_space_group_name_Hall '-P 4 2 3'
loop_
_atom_site_label
_atom_site_type_symbol
_atom_site_fract_x
_atom_site_fract_y
_atom_site_fract_z
Rb1 Rb 0.0000 0.0000 0.5000
Zr1 Zr 0.5000 0.5000 0.5000
Cd1 Cd 0.0000 0.0000 0.0000

Q: The highest uncorrected energy belongs to which entry?
A: K2Na9Cd

Q: size of the total moment of number 2 (K2Na9Cd)?
A: 0.00 μB/f.u.